A.
The following is a PBE calculation of crystalline Ta2MnAl2 at its relaxed geometry, from the Alexandria database.

Results
total magnetic moment	0.0	μB per formula unit
DOS(E_F)	10.73	states/eV/f.u.

abc: 3.732 3.732 12.768
angles: 90.00 90.00 90.00
Space group I4/mmm (No. 139)
One atom of each set of equivalent atoms:
1 Ta 0.000 0.500 0.250 (multiplicity 4)
2 Mn 0.000 0.000 0.000 (multiplicity 2)
3 Al 0.000 0.000 0.408 (multiplicity 4)



B.
The following is a PBE calculation of crystalline Ta2MnAl2 at its relaxed geometry, from the Alexandria database.

Results
total magnetic moment	1.8	μB per formula unit
DOS(E_F)	2.14	states/eV/f.u.

abc: 6.472 6.472 3.841
angles: 90.00 90.00 90.00
Space group P4/mbm (No. 127)
One atom of each set of equivalent atoms:
1 Ta 0.166 0.334 0.000 (multiplicity 4)
2 Mn 0.000 0.000 0.500 (multiplicity 2)
3 Al 0.137 0.637 0.500 (multiplicity 4)



The structure with the least stability is A.



A.
The following is a PBE calculation of crystalline TbMnAl3 at its relaxed geometry, from the Alexandria database.

Results
total magnetic moment	1.8	μB per formula unit
DOS(E_F)	2.92	states/eV/f.u.

abc: 6.2476 6.2476 5.4411
angles: 90.00 90.00 120.00
Space group P6_3/mmc (No. 194)
One atom of each set of equivalent atoms:
1 Tb 0.3333 0.6667 0.2500 (multiplicity 2)
2 Mn 0.0000 0.0000 0.0000 (multiplicity 2)
3 Al 0.1870 0.3740 0.7500 (multiplicity 6)



B.
The following is a PBE calculation of crystalline TbMnAl3 at its relaxed geometry, from the Alexandria database.

Results
total magnetic moment	0.0	μB per formula unit
DOS(E_F)	1.36	states/eV/f.u.

abc: 4.549 4.549 4.549
angles: 90.00 90.00 90.00
Space group Pm-3m (No. 221)
One atom of each set of equivalent atoms:
1 Tb 0.000 0.000 0.000 (multiplicity 1)
2 Mn 0.500 0.500 0.500 (multiplicity 1)
3 Al 0.000 0.500 0.500 (multiplicity 3)



The structure with the least stability is B.



A.
The following is a PBE calculation of crystalline MnAl2Tc at its relaxed geometry, from the Alexandria database.

Results
total magnetic moment	3.2	μB per formula unit
DOS(E_F)	2.12	states/eV/f.u.

abc: 6.058 6.058 6.058
angles: 90.00 90.00 90.00
Space group Fm-3m (No. 225)
One atom of each set of equivalent atoms:
1 Mn 0.000 0.000 0.000 (multiplicity 4)
2 Al 0.250 0.250 0.250 (multiplicity 8)
3 Tc 0.000 0.000 0.500 (multiplicity 4)



B.
The following is a PBE calculation of crystalline MnAl2Tc at its relaxed geometry, from the Alexandria database.

Results
total magnetic moment	3.9	μB per formula unit
DOS(E_F)	1.08	states/eV/f.u.

abc: 6.753 6.753 5.420
angles: 90.00 90.00 90.00
Space group I-42d (No. 122)
One atom of each set of equivalent atoms:
1 Mn 0.000 0.000 0.000 (multiplicity 4)
2 Al 0.243 0.250 0.125 (multiplicity 8)
3 Tc 0.000 0.000 0.500 (multiplicity 4)



The structure with the least stability is B.



A.
The following is a PBE calculation of crystalline Mn2AlTc2 at its relaxed geometry, from the Alexandria database.

Results
total magnetic moment	0.0	μB per formula unit
DOS(E_F)	5.12	states/eV/f.u.

abc: 7.030 7.030 2.752
angles: 90.00 90.00 90.00
Space group P4/mbm (No. 127)
One atom of each set of equivalent atoms:
1 Mn 0.124 0.376 0.000 (multiplicity 4)
2 Al 0.000 0.000 0.000 (multiplicity 2)
3 Tc 0.167 0.667 0.500 (multiplicity 4)



B.
The following is a PBE calculation of crystalline Mn2AlTc2 at its relaxed geometry, from the Alexandria database.

Results
total magnetic moment	0.0	μB per formula unit
DOS(E_F)	3.92	states/eV/f.u.

abc: 3.978 3.978 9.370
angles: 90.00 90.00 90.00
Space group I4/mmm (No. 139)
One atom of each set of equivalent atoms:
1 Mn 0.000 0.000 0.110 (multiplicity 4)
2 Al 0.000 0.000 0.500 (multiplicity 2)
3 Tc 0.000 0.500 0.250 (multiplicity 4)



The structure with the least stability is B.



A.
The following is a PBE calculation of crystalline Mn3AlTc at its relaxed geometry, from the Alexandria database.

Results
total magnetic moment	0.0	μB per formula unit
DOS(E_F)	4.27	states/eV/f.u.

abc: 4.126 4.126 4.126
angles: 90.00 90.00 90.00
Space group Pm-3m (No. 221)
One atom of each set of equivalent atoms:
1 Mn 0.000 0.000 0.500 (multiplicity 3)
2 Al 0.000 0.000 0.000 (multiplicity 1)
3 Tc 0.500 0.500 0.500 (multiplicity 1)



B.
The following is a PBE calculation of crystalline Mn3AlTc at its relaxed geometry, from the Alexandria database.

Results
total magnetic moment	8.1	μB per formula unit
DOS(E_F)	6.94	states/eV/f.u.

abc: 4.547 4.547 4.547
angles: 90.00 90.00 90.00
Space group Pm-3m (No. 221)
One atom of each set of equivalent atoms:
1 Mn 0.000 0.000 0.500 (multiplicity 3)
2 Al 0.500 0.500 0.500 (multiplicity 1)
3 Tc 0.000 0.000 0.000 (multiplicity 1)



The structure with the least stability is A.



A.
The following is a PBE calculation of crystalline MnAlTe3 at its relaxed geometry, from the Alexandria database.

Results
total magnetic moment	4.0	μB per formula unit
DOS(E_F)	0.94	states/eV/f.u.

abc: 14.641 4.032 11.085
angles: 90.00 95.14 90.00
Space group C2/m (No. 12)
One atom of each set of equivalent atoms:
1 Mn 0.149 0.000 0.409 (multiplicity 4)
2 Al 0.068 0.500 0.787 (multiplicity 4)
3 Te 0.114 0.500 0.247 (multiplicity 4)
4 Te 0.138 0.000 0.908 (multiplicity 4)
5 Te 0.154 0.500 0.577 (multiplicity 4)



B.
The following is a PBE calculation of crystalline MnAlTe3 at its relaxed geometry, from the Alexandria database.

Results
total magnetic moment	4.8	μB per formula unit
DOS(E_F)	3.41	states/eV/f.u.

abc: 5.297 5.297 5.297
angles: 90.00 90.00 90.00
Space group Pm-3m (No. 221)
One atom of each set of equivalent atoms:
1 Mn 0.000 0.000 0.000 (multiplicity 1)
2 Al 0.500 0.500 0.500 (multiplicity 1)
3 Te 0.000 0.500 0.500 (multiplicity 3)



C.
The following is a PBE calculation of crystalline MnAlTe3 at its relaxed geometry, from the Alexandria database.

Results
total magnetic moment	0.0	μB per formula unit
DOS(E_F)	8.03	states/eV/f.u.

abc: 5.084 5.084 5.084
angles: 90.00 90.00 90.00
Space group Pm-3m (No. 221)
One atom of each set of equivalent atoms:
1 Mn 0.000 0.000 0.000 (multiplicity 1)
2 Al 0.500 0.500 0.500 (multiplicity 1)
3 Te 0.000 0.000 0.500 (multiplicity 3)



D.
The following is a PBE calculation of crystalline MnAlTe3 at its relaxed geometry, from the Alexandria database.

Results
total magnetic moment	4.1	μB per formula unit
DOS(E_F)	1.35	states/eV/f.u.

abc: 7.403 11.305 7.112
angles: 90.00 90.00 90.00
Space group Pnma (No. 62)
One atom of each set of equivalent atoms:
1 Mn 0.000 0.000 0.000 (multiplicity 4)
2 Al 0.178 0.250 0.458 (multiplicity 4)
3 Te 0.036 0.250 0.112 (multiplicity 4)
4 Te 0.162 0.049 0.644 (multiplicity 8)



The structure with the least stability is C.



A.
The following is a PBE calculation of crystalline MnAlTe at its relaxed geometry, from the Alexandria database.

Results
total magnetic moment	3.0	μB per formula unit
DOS(E_F)	1.89	states/eV/f.u.

abc: 3.529 3.529 8.910
angles: 90.00 90.00 90.00
Space group I4mm (No. 107)
One atom of each set of equivalent atoms:
1 Mn 0.000 0.000 0.000 (multiplicity 2)
2 Al 0.000 0.000 0.352 (multiplicity 2)
3 Te 0.000 0.000 0.668 (multiplicity 2)



B.
The following is a PBE calculation of crystalline MnAlTe at its relaxed geometry, from the Alexandria database.

Results
total magnetic moment	2.5	μB per formula unit
DOS(E_F)	1.94	states/eV/f.u.

abc: 3.3577 3.3577 5.9719
angles: 90.00 90.00 120.00
Space group P3m1 (No. 156)
One atom of each set of equivalent atoms:
1 Mn 0.0000 0.0000 0.0000 (multiplicity 1)
2 Al 0.3333 0.6667 0.7113 (multiplicity 1)
3 Te 0.6667 0.3333 0.2958 (multiplicity 1)



C.
The following is a PBE calculation of crystalline MnAlTe at its relaxed geometry, from the Alexandria database.

Results
total magnetic moment	2.0	μB per formula unit
DOS(E_F)	2.19	states/eV/f.u.

abc: 6.138 6.138 6.138
angles: 90.00 90.00 90.00
Space group F-43m (No. 216)
One atom of each set of equivalent atoms:
1 Mn 0.000 0.000 0.000 (multiplicity 4)
2 Al 0.250 0.250 0.250 (multiplicity 4)
3 Te 0.250 0.250 0.750 (multiplicity 4)



The structure with the least stability is A.



A.
The following is a PBE calculation of crystalline MnAlTe4 at its relaxed geometry, from the Alexandria database.

Results
total magnetic moment	5.4	μB per formula unit
DOS(E_F)	2.42	states/eV/f.u.

abc: 9.009 9.009 9.009
angles: 90.00 90.00 90.00
Space group F-43m (No. 216)
One atom of each set of equivalent atoms:
1 Mn 0.000 0.000 0.000 (multiplicity 4)
2 Al 0.250 0.250 0.250 (multiplicity 4)
3 Te 0.126 0.126 0.626 (multiplicity 16)



B.
The following is a PBE calculation of crystalline MnAlTe4 at its relaxed geometry, from the Alexandria database.

Results
total magnetic moment	2.7	μB per formula unit
DOS(E_F)	2.66	states/eV/f.u.

abc: 6.218 3.843 6.884
angles: 90.00 90.18 90.00
Space group P2/m (No. 10)
One atom of each set of equivalent atoms:
1 Mn 0.000 0.000 0.000 (multiplicity 1)
2 Al 0.000 0.500 0.500 (multiplicity 1)
3 Te 0.245 0.500 0.160 (multiplicity 2)
4 Te 0.253 0.000 0.683 (multiplicity 2)



The structure with the least stability is A.



A.
The following is a PBE calculation of crystalline ThMnAl3 at its relaxed geometry, from the Alexandria database.

Results
total magnetic moment	0.0	μB per formula unit
DOS(E_F)	1.17	states/eV/f.u.

abc: 4.574 4.574 4.574
angles: 90.00 90.00 90.00
Space group Pm-3m (No. 221)
One atom of each set of equivalent atoms:
1 Th 0.000 0.000 0.000 (multiplicity 1)
2 Mn 0.500 0.500 0.500 (multiplicity 1)
3 Al 0.000 0.500 0.500 (multiplicity 3)



B.
The following is a PBE calculation of crystalline ThMnAl3 at its relaxed geometry, from the Alexandria database.

Results
total magnetic moment	0.6	μB per formula unit
DOS(E_F)	4.08	states/eV/f.u.

abc: 6.706 6.912 8.613
angles: 90.00 90.00 90.00
Space group Immm (No. 71)
One atom of each set of equivalent atoms:
1 Th 0.000 0.000 0.238 (multiplicity 4)
2 Mn 0.151 0.500 0.500 (multiplicity 4)
3 Al 0.000 0.500 0.235 (multiplicity 4)
4 Al 0.200 0.311 0.000 (multiplicity 8)



The structure with the least stability is B.



A.
The following is a PBE calculation of crystalline Ti4MnAl at its relaxed geometry, from the Alexandria database.

Results
total magnetic moment	0.0	μB per formula unit
DOS(E_F)	6.74	states/eV/f.u.

abc: 9.336 4.361 5.603
angles: 90.00 125.43 90.00
Space group C2/m (No. 12)
One atom of each set of equivalent atoms:
1 Ti 0.140 0.000 0.302 (multiplicity 4)
2 Ti 0.208 0.000 0.856 (multiplicity 4)
3 Mn 0.000 0.500 0.000 (multiplicity 2)
4 Al 0.000 0.500 0.500 (multiplicity 2)



B.
The following is a PBE calculation of crystalline Ti4MnAl at its relaxed geometry, from the Alexandria database.

Results
total magnetic moment	0.0	μB per formula unit
DOS(E_F)	8.31	states/eV/f.u.

abc: 4.5013 4.5013 17.1666
angles: 90.00 90.00 120.00
Space group R-3m (No. 166, hexagonal axes)
One atom of each set of equivalent atoms:
1 Ti 0.0000 0.0000 0.1247 (multiplicity 6)
2 Ti 0.0000 0.0000 0.2930 (multiplicity 6)
3 Mn 0.0000 0.0000 0.0000 (multiplicity 3)
4 Al 0.0000 0.0000 0.5000 (multiplicity 3)



The structure with the least stability is B.



A.
The following is a PBE calculation of crystalline Ti3MnAl at its relaxed geometry, from the Alexandria database.

Results
total magnetic moment	1.3	μB per formula unit
DOS(E_F)	5.41	states/eV/f.u.

abc: 4.481 4.481 4.481
angles: 90.00 90.00 90.00
Space group Pm-3m (No. 221)
One atom of each set of equivalent atoms:
1 Ti 0.000 0.000 0.500 (multiplicity 3)
2 Mn 0.000 0.000 0.000 (multiplicity 1)
3 Al 0.500 0.500 0.500 (multiplicity 1)



B.
The following is a PBE calculation of crystalline Ti3MnAl at its relaxed geometry, from the Alexandria database.

Results
total magnetic moment	0.4	μB per formula unit
DOS(E_F)	7.04	states/eV/f.u.

abc: 4.610 4.610 4.610
angles: 90.00 90.00 90.00
Space group Pm-3m (No. 221)
One atom of each set of equivalent atoms:
1 Ti 0.000 0.000 0.500 (multiplicity 3)
2 Mn 0.500 0.500 0.500 (multiplicity 1)
3 Al 0.000 0.000 0.000 (multiplicity 1)



The structure with the least stability is B.